The following is a DFT calculation (PBE-GGA) of a relaxed structure of Nb4FeS8.

a b c (Å): 25.5855 3.3493 5.7564
angles (deg): 90.00 102.60 90.00
Closest atoms and distances in Å follow each position.
Space group C2/m (No. 12)
Asymmetric unit:
1 Nb 0.1134 0.0000 0.1073 (multiplicity 4)  6 S 2.49-2.53
2 Nb 0.1167 0.5000 0.6220 (multiplicity 4)  6 S 2.46-2.53
3 Fe 0.0000 0.5000 0.5000 (multiplicity 2)  6 S 2.28-2.30
4 S 0.0507 0.5000 0.8791 (multiplicity 4)  1 Fe 2.28, 3 Nb 2.48-2.49
5 S 0.0515 0.0000 0.3898 (multiplicity 4)  2 Fe 2.30, 3 Nb 2.51-2.53
6 S 0.1780 0.0000 0.5081 (multiplicity 4)  3 Nb 2.48-2.53
7 S 0.1783 0.5000 0.0143 (multiplicity 4)  3 Nb 2.46-2.50

Calculated values
formation energy from raw total energies: -1.0055 eV per atom

The following is a DFT calculation (PBE-GGA) of a relaxed structure of ZnNi2Ir.

a b c (Å): 3.5744 3.5744 17.1816
angles (deg): 90.00 90.00 90.00
Closest atoms and distances in Å follow each position.
Space group I-42d (No. 122)
Asymmetric unit:
1 Zn 0.0000 0.0000 0.0000 (multiplicity 4)  4 Ni 2.50, 4 Ir 2.53
2 Ni 0.2439 0.2500 0.6250 (multiplicity 8)  2 Ir 2.48, 4 Ni 2.50-2.56, 2 Zn 2.50
3 Ir 0.0000 0.0000 0.5000 (multiplicity 4)  4 Ni 2.48, 4 Zn 2.53

Calculated values
energy of formation: 0.337 eV per atom

The following is a DFT calculation (PBE-GGA) of a relaxed structure of UHg2Br4.

a b c (Å): 5.6960 5.6960 20.8550
angles (deg): 90.00 90.00 90.00
Closest atoms and distances in Å follow each position.
Space group I4/mmm (No. 139)
Asymmetric unit:
1 U 0.0000 0.0000 0.0000 (multiplicity 2)  6 Br 2.66-2.85
2 Hg 0.0000 0.0000 0.3126 (multiplicity 4)  5 Br 3.86-4.22
3 Br 0.0000 0.0000 0.1277 (multiplicity 4)  1 U 2.66
4 Br 0.0000 0.5000 0.0000 (multiplicity 4)  2 U 2.85

Calculated values
formation energy from raw total energies: -0.8285 eV per atom

The following is a DFT calculation (PBE-GGA) of a relaxed structure of CaLa2Al.

a b c (Å): 6.6697 11.8527 3.5140
angles (deg): 90.00 115.16 90.00
Closest atoms and distances in Å follow each position.
Space group C2/m (No. 12)
Asymmetric unit:
1 Ca 0.0000 0.0000 0.0000 (multiplicity 2)  4 Al 3.33-3.67, 4 La 3.49, 2 Ca 3.51
2 La 0.2500 0.2500 0.5000 (multiplicity 4)  6 La 3.33-3.67, 2 Ca 3.49, 2 Al 3.49
3 Al 0.0000 0.5000 0.0000 (multiplicity 2)  4 Ca 3.33-3.67, 4 La 3.49, 2 Al 3.51

Calculated values
energy of formation: 0.042 eV per atom

The following is a DFT calculation (PBE-GGA) of a relaxed structure of Rb3Ho2NpS6.

a b c (Å): 7.0993 12.2803 8.0369
angles (deg): 90.00 107.06 90.00
Closest atoms and distances in Å follow each position.
Space group C2/m (No. 12)
Asymmetric unit:
1 Rb 0.0000 0.0000 0.0000 (multiplicity 2)  6 S 3.32-3.36
2 Rb 0.0000 0.3328 0.0000 (multiplicity 4)  6 S 3.32-3.36
3 Ho 0.0000 0.1659 0.5000 (multiplicity 4)  6 S 2.77-2.78
4 Np 0.0000 0.5000 0.5000 (multiplicity 2)  6 S 2.81
5 S 0.2263 0.0000 0.6921 (multiplicity 4)  2 Ho 2.77, 1 Np 2.81
6 S 0.2329 0.3313 0.6914 (multiplicity 8)  2 Ho 2.77-2.78, 1 Np 2.81

Calculated values
formation energy from raw total energies: -1.6738 eV per atom

The following is a DFT calculation (PBE-GGA) of a relaxed structure of NaEuDyGa.

a b c (Å): 7.6067 7.6067 7.6067
angles (deg): 90.00 90.00 90.00
Closest atoms and distances in Å follow each position.
Space group F-43m (No. 216)
Asymmetric unit:
1 Na 0.0000 0.0000 0.0000 (multiplicity 4)  4 Dy 3.29, 4 Eu 3.29
2 Eu 0.2500 0.2500 0.7500 (multiplicity 4)  4 Na 3.29, 4 Ga 3.29
3 Dy 0.2500 0.2500 0.2500 (multiplicity 4)  4 Na 3.29, 4 Ga 3.29
4 Ga 0.0000 0.0000 0.5000 (multiplicity 4)  4 Dy 3.29, 4 Eu 3.29

Calculated values
energy of formation: -0.092 eV per atom

The following is a DFT calculation (PBE-GGA) of a relaxed structure of CdHSeBr2.

a b c (Å): 5.4643 5.4643 3.5735
angles (deg): 90.00 90.00 90.00
Closest atoms and distances in Å follow each position.
Space group P4/mmm (No. 123)
Asymmetric unit:
1 Cd 0.0000 0.0000 0.0000 (multiplicity 1)  8 Br 3.26, 2 Cd 3.57
2 H 0.5000 0.5000 0.5000 (multiplicity 1)  2 Se 1.79
3 Se 0.5000 0.5000 0.0000 (multiplicity 1)  2 H 1.79
4 Br 0.0000 0.5000 0.5000 (multiplicity 2)  2 H 2.73

Calculated values
final energy: -0.072 Ha/atom

The following is a DFT calculation (PBE-GGA) of a relaxed structure of TaNb.

a b c (Å): 5.9910 5.9910 5.9910
angles (deg): 90.00 90.00 90.00
Closest atoms and distances in Å follow each position.
Space group F-43m (No. 216)
Asymmetric unit:
1 Ta 0.0000 0.0000 0.0000 (multiplicity 4)  4 Nb 2.59
2 Nb 0.2500 0.2500 0.2500 (multiplicity 4)  4 Ta 2.59

Calculated values
energy of formation: 2.703 eV per atom

The following is a DFT calculation (PBE-GGA) of a relaxed structure of CrHPd2Ru.

a b c (Å): 3.8581 3.8581 4.0821
angles (deg): 90.00 90.00 90.00
Closest atoms and distances in Å follow each position.
Space group P4/mmm (No. 123)
Asymmetric unit:
1 Cr 0.0000 0.0000 0.0000 (multiplicity 1)  2 H 2.04
2 H 0.0000 0.0000 0.5000 (multiplicity 1)  4 Pd 1.93, 2 Cr 2.04
3 Pd 0.0000 0.5000 0.5000 (multiplicity 2)  2 H 1.93
4 Ru 0.5000 0.5000 0.0000 (multiplicity 1)  4 Cr 2.73, 8 Pd 2.81

Calculated values
final energy: -0.235 Ha/atom

The following is a DFT calculation (PBE-GGA) of a relaxed structure of In2TeMo.

a b c (Å): 3.2216 4.7491 13.2006
angles (deg): 90.00 90.00 90.00
Closest atoms and distances in Å follow each position.
Space group Imm2 (No. 44)
Asymmetric unit:
1 In 0.0000 0.0000 0.0000 (multiplicity 2)  2 Mo 2.98, 4 In 3.22-3.25
2 In 0.0000 0.5000 0.1681 (multiplicity 2)  4 Mo 2.88, 2 In 3.22
3 Te 0.0000 0.0000 0.3538 (multiplicity 2)  2 Mo 2.69
4 Mo 0.0000 0.5000 0.6902 (multiplicity 2)  2 Te 2.69, 6 In 2.88-2.98

Calculated values
formation energy from raw total energies: 0.2146 eV per atom

The following is a DFT calculation (PBE-GGA) of a relaxed structure of TbDyBr3.

a b c (Å): 18.2883 3.9157 11.4269
angles (deg): 90.00 124.38 90.00
Closest atoms and distances in Å follow each position.
Space group C2/m (No. 12)
Asymmetric unit:
1 Tb 0.1362 0.0000 0.2843 (multiplicity 4)  5 Br 2.90-2.99
2 Dy 0.0720 0.5000 0.9585 (multiplicity 4)  4 Br 2.90-2.92
3 Br 0.0323 0.0000 0.7429 (multiplicity 4)  2 Dy 2.90, 1 Tb 2.92
4 Br 0.1670 0.5000 0.5057 (multiplicity 4)  3 Tb 2.99
5 Br 0.2131 0.0000 0.1214 (multiplicity 4)  1 Tb 2.90, 2 Dy 2.92

Calculated values
formation energy from raw total energies: -1.4981 eV per atom

The following is a DFT calculation (PBE-GGA) of a relaxed structure of PaTcSb.

a b c (Å): 3.2286 3.2286 14.8719
angles (deg): 90.00 90.00 90.00
Closest atoms and distances in Å follow each position.
Space group I4mm (No. 107)
Asymmetric unit:
1 Pa 0.0000 0.0000 0.0000 (multiplicity 2)  4 Tc 2.76
2 Tc 0.0000 0.0000 0.3951 (multiplicity 2)  1 Sb 2.69, 4 Pa 2.76
3 Sb 0.0000 0.0000 0.2143 (multiplicity 2)  1 Tc 2.69

Calculated values
formation energy from raw total energies: 0.3109 eV per atom

The following is a DFT calculation (PBE-GGA) of a relaxed structure of Pm2ErZn12Cu3.

a b c (Å): 6.5026 6.5026 28.0338
angles (deg): 90.00 90.00 120.00
Closest atoms and distances in Å follow each position.
Space group R-3m (No. 166, hexagonal axes)
Asymmetric unit:
1 Pm 0.0000 0.0000 0.1429 (multiplicity 6)  6 Zn 3.10-3.11
2 Er 0.0000 0.0000 0.5000 (multiplicity 3)  6 Zn 3.00
3 Zn 0.0601 0.5300 0.9055 (multiplicity 18)  4 Zn 2.62-2.67, 1 Cu 2.67
4 Zn 0.0679 0.5339 0.7124 (multiplicity 18)  2 Cu 2.46, 4 Zn 2.59-2.62
5 Cu 0.0000 0.5000 0.0000 (multiplicity 9)  6 Zn 2.46-2.67

Calculated values
energy of formation: -0.017 eV per atom

The following is a DFT calculation (PBE-GGA) of a relaxed structure of K3Pr2TmO6.

a b c (Å): 6.2242 10.7848 6.6295
angles (deg): 90.00 108.21 90.00
Closest atoms and distances in Å follow each position.
Space group C2/m (No. 12)
Asymmetric unit:
1 K 0.0000 0.0000 0.0000 (multiplicity 2)  6 O 2.82-2.93
2 K 0.0000 0.3368 0.0000 (multiplicity 4)  6 O 2.80-2.95
3 Pr 0.0000 0.1668 0.5000 (multiplicity 4)  6 O 2.44
4 Tm 0.0000 0.5000 0.5000 (multiplicity 2)  6 O 2.30-2.31
5 O 0.2215 0.3415 0.6890 (multiplicity 8)  1 Tm 2.31, 2 Pr 2.44
6 O 0.2456 0.0000 0.6881 (multiplicity 4)  1 Tm 2.30, 2 Pr 2.44

Calculated values
formation energy from raw total energies: -2.6459 eV per atom

The following is a DFT calculation (PBE-GGA) of a relaxed structure of Dy2Er9Tm.

a b c (Å): 11.0645 11.0645 3.4594
angles (deg): 90.00 90.00 120.00
Closest atoms and distances in Å follow each position.
Space group P6/mmm (No. 191)
Asymmetric unit:
1 Dy 0.3333 0.6667 0.0000 (multiplicity 2)  9 Er 3.19-3.48, 2 Dy 3.46
2 Er 0.0000 0.5000 0.0000 (multiplicity 3)  2 Dy 3.19, 10 Er 3.46-3.56
3 Er 0.1756 0.3512 0.5000 (multiplicity 6)  8 Er 3.37-3.56, 2 Dy 3.48
4 Tm 0.0000 0.0000 0.0000 (multiplicity 1)  2 Tm 3.46, 12 Er 3.78

Calculated values
energy of formation: 0.062 eV per atom

The following is a DFT calculation (PBE-GGA) of a relaxed structure of LiCrRu2.

a b c (Å): 5.8379 5.8379 5.8379
angles (deg): 90.00 90.00 90.00
Closest atoms and distances in Å follow each position.
Space group Fm-3m (No. 225)
Asymmetric unit:
1 Li 0.0000 0.0000 0.0000 (multiplicity 4)  8 Ru 2.53
2 Cr 0.0000 0.0000 0.5000 (multiplicity 4)  8 Ru 2.53
3 Ru 0.2500 0.2500 0.2500 (multiplicity 8)  4 Cr 2.53, 4 Li 2.53

Calculated values
energy of formation: 0.077 eV per atom

The following is a DFT calculation (PBE-GGA) of a relaxed structure of ErP2Pt7.

a b c (Å): 4.0116 4.0116 20.3193
angles (deg): 90.00 90.00 90.00
Closest atoms and distances in Å follow each position.
Space group I4/mmm (No. 139)
Asymmetric unit:
1 Er 0.0000 0.0000 0.0000 (multiplicity 2)  12 Pt 2.84-2.94
2 P 0.0000 0.0000 0.3259 (multiplicity 4)  8 Pt 2.44-2.53
3 Pt 0.0000 0.0000 0.5000 (multiplicity 2)  4 Er 2.84, 8 Pt 2.94
4 Pt 0.0000 0.5000 0.1059 (multiplicity 8)  2 P 2.44
5 Pt 0.0000 0.5000 0.2500 (multiplicity 4)  4 P 2.53

Calculated values
energy of formation: -0.677 eV per atom

The following is a DFT calculation (PBE-GGA) of a relaxed structure of K3IrBr6.

a b c (Å): 7.6836 7.9812 13.2956
angles (deg): 90.00 124.05 90.00
Closest atoms and distances in Å follow each position.
Space group P2_1/c (No. 14)
Asymmetric unit:
1 K 0.0000 0.0000 0.0000 (multiplicity 2)  6 Br 3.25-3.29
2 K 0.2818 0.0807 0.7569 (multiplicity 4)  6 Br 3.33-3.60
3 Ir 0.5000 0.0000 0.5000 (multiplicity 2)  6 Br 2.52-2.53
4 Br 0.1782 0.0245 0.2861 (multiplicity 4)  1 Ir 2.52
5 Br 0.2875 0.6658 0.0570 (multiplicity 4)  1 Ir 2.52
6 Br 0.3993 0.2309 0.0553 (multiplicity 4)  1 Ir 2.53

Calculated values
formation energy from raw total energies: -1.1221 eV per atom

The following is a DFT calculation (PBE-GGA) of a relaxed structure of Y8Er3.

a b c (Å): 12.3643 12.3643 8.5204
angles (deg): 90.00 90.00 120.00
Closest atoms and distances in Å follow each position.
Space group R-3 (No. 148, hexagonal axes)
Asymmetric unit:
1 Y 0.0000 0.0000 0.2475 (multiplicity 6)  3 Er 3.64, 6 Y 3.64-3.94
2 Y 0.0550 0.6015 0.1356 (multiplicity 18)  3 Y 3.16-3.17, 2 Er 3.23-3.29
3 Er 0.0000 0.5000 0.5000 (multiplicity 9)  6 Y 3.23-3.58

Calculated values
energy of formation: 0.409 eV per atom

The following is a DFT calculation (PBE-GGA) of a relaxed structure of La3Sm2Dy6Er.

a b c (Å): 6.2526 10.8335 11.8897
angles (deg): 90.00 100.09 90.00
Closest atoms and distances in Å follow each position.
Space group C2/m (No. 12)
Asymmetric unit:
1 La 0.0000 0.0000 0.0000 (multiplicity 2)  6 La 3.61, 6 Dy 3.63
2 La 0.0000 0.3330 0.0000 (multiplicity 4)  6 La 3.61-3.62, 6 Dy 3.63-3.64
3 Sm 0.0000 0.1664 0.5000 (multiplicity 4)  6 Dy 3.55, 3 Sm 3.61, 3 Er 3.61
4 Dy 0.2480 0.3337 0.7456 (multiplicity 8)  1 Er 3.55, 2 Sm 3.55, 6 Dy 3.60-3.61, 3 La 3.63-3.64
5 Dy 0.2490 0.0000 0.7459 (multiplicity 4)  1 Er 3.55, 2 Sm 3.55, 6 Dy 3.60-3.61, 3 La 3.63
6 Er 0.0000 0.5000 0.5000 (multiplicity 2)  6 Dy 3.55, 6 Sm 3.61

Calculated values
energy of formation: 0.018 eV per atom

| no. | total moment (μB/f.u.) |
| --- | --- |
| 1 | 0.0 |
| 2 | 0.0 |
| 3 | 2.0 |
| 4 | 0.0 |
| 5 | 4.0 |
| 6 | 7.3 |
| 7 | 0.8 |
| 8 | 0.0 |
| 9 | 1.4 |
| 10 | 0.4 |
| 11 | 0.0 |
| 12 | 0.0 |
| 13 | 0.0 |
| 14 | 0.0 |
| 15 | 0.0 |
| 16 | 0.0 |
| 17 | 0.0 |
| 18 | 0.0 |
| 19 | 0.0 |
| 20 | 0.0 |